Below is a relaxed structure of FeRhO2, with properties calculated at the GGA+U level.

Output
**E above lowest polymorph**: 178.8 meV/atom
**Density of states at the Fermi level**: 1.41 states/eV per cell
**SG**: R-3m (166)

a = 6.1846 Å, b = 6.1846 Å, c = 6.1846 Å
α = 28.77°, β = 28.77°, γ = 28.77°
Closest atoms and distances in Å follow each position.
Atoms (fractional coordinates):
Fe: 0.0000 0.0000 0.0000  2 O 1.92
Rh: 0.5000 0.5000 0.5000  6 O 2.06
O: 0.1080 0.1080 0.1080  1 Fe 1.92, 3 Rh 2.06
O: 0.8920 0.8920 0.8920  1 Fe 1.92, 3 Rh 2.06